Compound: VSnPbO2
Source: Alexandria via LeMat-Bulk
Functional: GGA+U
Structure: relaxed

a = 4.056 Å, b = 4.056 Å, c = 6.245 Å
α = 90.00°, β = 90.00°, γ = 90.00°
Atoms (fractional coordinates):
1 V 0.000 0.000 0.000
2 Sn 0.500 0.500 0.500
3 Pb 0.500 0.500 0.000
4 O 0.000 0.500 0.500
5 O 0.500 0.000 0.500

Computed properties:
calculated density = 6607 kg/m³
symmetry = P4/mmm
DFT total energy = -4.932 eV per atom